1.
{"formula": "YCrTc2", "functional": "GGA-PBEsol", "state": "relaxed", "lattice": [[4.589, -1.499, 0.000], [4.589, 1.499, 0.000], [-1.726, 0.000, 4.720]], "species": ["Y", "Cr", "Tc", "Tc"], "frac_coords": [[0.000, 0.000, 0.000], [0.500, 0.500, 0.500], [0.218, 0.218, 0.688], [0.782, 0.782, 0.312]], "sg": "No. 12", "energy_ev_per_atom": -9.594}

2.
{"formula": "ZnRh3F", "functional": "GGA-PBEsol", "state": "relaxed", "lattice": [[4.537, 0.000, 0.000], [0.000, 4.537, 0.000], [0.000, 0.000, 4.537]], "species": ["Zn", "Rh", "Rh", "Rh", "F"], "frac_coords": [[0.000, 0.000, 0.000], [0.000, 0.000, 0.500], [0.000, 0.500, 0.000], [0.500, 0.000, 0.000], [0.500, 0.500, 0.500]], "sg": "No. 221", "e_form_raw_ev_per_atom": 1.3996, "energy_ev_per_atom": -4.185}

3.
{"formula": "TaBi2WF", "functional": "GGA-PBEsol", "state": "relaxed", "lattice": [[5.026, 0.000, 0.000], [0.000, 5.026, 0.000], [0.000, 0.000, 3.942]], "species": ["Ta", "Bi", "Bi", "W", "F"], "frac_coords": [[0.000, 0.000, 0.000], [0.000, 0.500, 0.500], [0.500, 0.000, 0.500], [0.500, 0.500, 0.000], [0.000, 0.000, 0.500]], "sg": "No. 123", "e_form_raw_ev_per_atom": 0.7113, "energy_ev_per_atom": -6.660}

4.
{"formula": "MgTaPt2", "functional": "GGA-PBEsol", "state": "relaxed", "lattice": [[0.000, 3.159, 3.159], [3.159, 0.000, 3.159], [3.159, 3.159, 0.000]], "species": ["Mg", "Ta", "Pt", "Pt"], "frac_coords": [[0.000, 0.000, 0.000], [0.250, 0.250, 0.250], [0.500, 0.500, 0.500], [0.750, 0.750, 0.750]], "sg": "No. 216", "energy_ev_per_atom": -7.346}

5.
{"formula": "KTl2Au", "functional": "GGA-PBEsol", "state": "relaxed", "lattice": [[4.645, 0.000, 0.000], [0.000, 4.658, 0.000], [0.000, 0.000, 4.878]], "species": ["K", "Tl", "Tl", "Au"], "frac_coords": [[0.000, 0.000, 0.000], [0.000, 0.500, 0.500], [0.500, 0.000, 0.500], [0.500, 0.500, 0.000]], "sg": "No. 47", "energy_ev_per_atom": -2.573}

6.
{"formula": "BeTeAu", "functional": "GGA-PBEsol", "state": "relaxed", "lattice": [[0.000, 3.038, 3.038], [3.038, 0.000, 3.038], [3.038, 3.038, 0.000]], "species": ["Be", "Te", "Au"], "frac_coords": [[0.000, 0.000, 0.000], [0.750, 0.750, 0.750], [0.250, 0.250, 0.250]], "sg": "No. 216", "e_form_raw_ev_per_atom": 0.1425, "energy_ev_per_atom": -3.674}

What did the first record say?
{"formula": "YCrTc2", "functional": "GGA-PBEsol", "state": "relaxed", "lattice": [[4.589, -1.499, 0.000], [4.589, 1.499, 0.000], [-1.726, 0.000, 4.720]], "species": ["Y", "Cr", "Tc", "Tc"], "frac_coords": [[0.000, 0.000, 0.000], [0.500, 0.500, 0.500], [0.218, 0.218, 0.688], [0.782, 0.782, 0.312]], "sg": "No. 12", "energy_ev_per_atom": -9.594}